SrAg4Cl6 (PBE-GGA, optimized geometry); spin magnetization = 0.00 μB per formula unit; V = 26.5 Å³ per atom; raw total energy = -34.57 eV per cell; uncorrected formation energy = -0.946 eV/atom
1.0
-4.367 -2.967 0.307
1.942 -3.429 -3.527
6.121 -0.729 10.160
Cl Ag Sr
6 4 1
Direct
0.624 0.124 0.045
0.874 0.874 0.373
0.108 0.627 0.704
0.627 0.108 0.704
0.124 0.624 0.045
0.369 0.369 0.371
0.543 0.543 0.619
0.808 0.314 0.291
0.314 0.808 0.291
0.065 0.065 0.619
0.045 0.045 0.939



CePmPuSi (PBE-GGA, optimized geometry); spin magnetization = 7.77 μB per formula unit; V = 24.7 Å³ per atom; raw total energy = -30.81 eV per cell; DOS at the Fermi energy = 11.22 states/eV/f.u.; uncorrected formation energy = -0.092 eV/atom
1.0
5.188 0.000 0.000
2.594 4.493 0.000
2.594 1.498 4.236
Si Pm Ce Pu
1 1 1 1
Direct
0.750 0.750 0.750
0.500 0.500 0.500
0.000 0.000 0.000
0.250 0.250 0.250



What did the second record say?
CePmPuSi (PBE-GGA, optimized geometry); spin magnetization = 7.77 μB per formula unit; V = 24.7 Å³ per atom; raw total energy = -30.81 eV per cell; DOS at the Fermi energy = 11.22 states/eV/f.u.; uncorrected formation energy = -0.092 eV/atom
1.0
5.188 0.000 0.000
2.594 4.493 0.000
2.594 1.498 4.236
Si Pm Ce Pu
1 1 1 1
Direct
0.750 0.750 0.750
0.500 0.500 0.500
0.000 0.000 0.000
0.250 0.250 0.250



Question: Number 1 is which compound?
Answer: SrAg4Cl6